(1)
VASP calculation (PBE) on a relaxed structure of Tm2S.

Cell and atoms, written as POSCAR:
```
Tm2S
1.0
12.962 0.000 0.000
0.000 3.736 0.000
0.000 0.000 6.135
Tm S
8 4
direct
0.041 0.250 0.232
0.206 0.250 0.755
0.294 0.750 0.255
0.459 0.750 0.732
0.541 0.250 0.268
0.706 0.250 0.745
0.794 0.750 0.245
0.959 0.750 0.768
0.122 0.750 0.496
0.378 0.250 0.996
0.622 0.750 0.004
0.878 0.250 0.504
```

space group	Pnma
raw total energy	-0.2054	hartree per atom

(2)
VASP calculation (PBE) on a relaxed structure of Tm5S6.

Cell and atoms, written as POSCAR:
```
Tm5S6
1.0
3.331 -5.745 0.000
3.331 5.745 0.000
-2.213 0.000 6.247
Tm S
5 6
direct
0.000 0.000 0.000
0.165 0.835 0.500
0.337 0.663 0.000
0.663 0.337 0.000
0.835 0.165 0.500
0.083 0.417 0.249
0.250 0.250 0.746
0.417 0.083 0.249
0.583 0.917 0.751
0.750 0.750 0.254
0.917 0.583 0.751
```

space group	C2/m
raw total energy	-0.2326	hartree per atom

(3)
VASP calculation (PBE) on a relaxed structure of TmS8.

Cell and atoms, written as POSCAR:
```
TmS8
1.0
-5.226 5.226 2.118
5.226 -5.226 2.118
5.226 5.226 -2.118
Tm S
1 8
direct
0.000 0.000 0.000
0.000 0.401 0.401
0.000 0.599 0.599
0.381 0.381 0.762
0.381 0.619 0.000
0.401 0.000 0.401
0.599 0.000 0.599
0.619 0.381 0.000
0.619 0.619 0.238
```

space group	I4/mmm
raw total energy	-0.1465	hartree per atom

(4)
VASP calculation (PBE) on a relaxed structure of Tm3S5.

Cell and atoms, written as POSCAR:
```
Tm3S5
1.0
8.235 0.000 0.000
-4.117 7.131 0.000
0.000 0.000 5.452
Tm S
6 10
direct
0.000 0.364 0.250
0.000 0.636 0.750
0.364 0.000 0.250
0.364 0.364 0.750
0.636 0.000 0.750
0.636 0.636 0.250
0.000 0.280 0.750
0.000 0.720 0.250
0.280 0.000 0.750
0.280 0.280 0.250
0.333 0.667 0.000
0.333 0.667 0.500
0.667 0.333 0.000
0.667 0.333 0.500
0.720 0.000 0.250
0.720 0.720 0.750
```

space group	P6_3/mcm
raw total energy	-0.2229	hartree per atom

(5)
VASP calculation (PBE) on a relaxed structure of Tm2S3.

Cell and atoms, written as POSCAR:
```
Tm2S3
1.0
6.807 0.000 0.000
-3.403 5.895 0.000
0.000 0.000 18.598
Tm S
12 18
direct
0.000 0.000 0.000
0.000 0.000 0.203
0.000 0.000 0.500
0.000 0.000 0.703
0.333 0.667 0.037
0.333 0.667 0.339
0.333 0.667 0.537
0.333 0.667 0.839
0.667 0.333 0.037
0.667 0.333 0.339
0.667 0.333 0.537
0.667 0.333 0.839
0.000 0.300 0.098
0.000 0.335 0.772
0.000 0.370 0.441
0.000 0.630 0.941
0.000 0.665 0.272
0.000 0.700 0.598
0.300 0.000 0.098
0.300 0.300 0.598
0.335 0.000 0.772
0.335 0.335 0.272
0.370 0.000 0.441
0.370 0.370 0.941
0.630 0.000 0.941
0.630 0.630 0.441
0.665 0.000 0.272
0.665 0.665 0.772
0.700 0.000 0.598
0.700 0.700 0.098
```

space group	P6_3cm
raw total energy	-0.2313	hartree per atom

(6)
VASP calculation (PBE) on a relaxed structure of Tm2S3.

Cell and atoms, written as POSCAR:
```
Tm2S3
1.0
1.789 -6.909 0.000
1.789 6.909 0.000
0.000 0.000 8.472
Tm S
4 6
direct
0.000 0.000 0.000
0.000 0.000 0.500
0.251 0.749 0.750
0.749 0.251 0.250
0.340 0.660 0.058
0.340 0.660 0.442
0.451 0.549 0.750
0.549 0.451 0.250
0.660 0.340 0.558
0.660 0.340 0.942
```

space group	Cmcm
raw total energy	-0.2228	hartree per atom

(7)
VASP calculation (PBE) on a relaxed structure of Tm2S3.

Cell and atoms, written as POSCAR:
```
Tm2S3
1.0
-6.273 6.273 6.273
6.273 -6.273 6.273
6.273 6.273 -6.273
Tm S
16 24
direct
0.000 0.000 0.500
0.000 0.500 0.000
0.048 0.750 0.798
0.202 0.952 0.250
0.250 0.202 0.952
0.250 0.702 0.452
0.298 0.548 0.750
0.452 0.250 0.702
0.500 0.000 0.000
0.500 0.500 0.500
0.548 0.750 0.298
0.702 0.452 0.250
0.750 0.298 0.548
0.750 0.798 0.048
0.798 0.048 0.750
0.952 0.250 0.202
0.010 0.054 0.277
0.044 0.490 0.767
0.054 0.277 0.010
0.223 0.277 0.733
0.223 0.446 0.456
0.233 0.956 0.510
0.267 0.777 0.723
0.277 0.010 0.054
0.277 0.733 0.223
0.446 0.456 0.223
0.456 0.223 0.446
0.490 0.767 0.044
0.510 0.233 0.956
0.544 0.777 0.554
0.554 0.544 0.777
0.723 0.267 0.777
0.723 0.990 0.946
0.733 0.223 0.277
0.767 0.044 0.490
0.777 0.554 0.544
0.777 0.723 0.267
0.946 0.723 0.990
0.956 0.510 0.233
0.990 0.946 0.723
```

space group	Ia-3
raw total energy	-0.2333	hartree per atom

(8)
VASP calculation (PBE) on a relaxed structure of Tm5S8.

Cell and atoms, written as POSCAR:
```
Tm5S8
1.0
6.315 -3.944 0.000
6.315 3.944 0.000
-6.139 0.000 6.754
Tm S
5 8
direct
0.000 0.000 0.000
0.258 0.742 0.500
0.283 0.283 0.004
0.717 0.717 0.996
0.742 0.258 0.500
0.008 0.008 0.307
0.010 0.559 0.834
0.441 0.990 0.166
0.455 0.455 0.655
0.545 0.545 0.345
0.559 0.010 0.834
0.990 0.441 0.166
0.992 0.992 0.693
```

space group	C2/m
raw total energy	-0.2259	hartree per atom

(9)
VASP calculation (PBE) on a relaxed structure of Tm2S3.

Cell and atoms, written as POSCAR:
```
Tm2S3
1.0
10.065 0.000 0.000
0.000 3.971 0.000
-2.621 0.000 17.296
Tm S
12 18
direct
0.013 0.250 0.100
0.049 0.750 0.615
0.311 0.250 0.479
0.312 0.250 0.779
0.330 0.750 0.282
0.376 0.250 0.071
0.624 0.750 0.929
0.670 0.250 0.718
0.688 0.750 0.221
0.689 0.750 0.521
0.951 0.250 0.385
0.987 0.750 0.900
0.115 0.750 0.468
0.133 0.250 0.969
0.137 0.750 0.783
0.181 0.250 0.319
0.210 0.750 0.132
0.231 0.250 0.627
0.447 0.250 0.925
0.452 0.750 0.424
0.492 0.250 0.232
0.508 0.750 0.768
0.548 0.250 0.576
0.553 0.750 0.075
0.769 0.750 0.373
0.790 0.250 0.868
0.819 0.750 0.681
0.863 0.250 0.217
0.867 0.750 0.031
0.885 0.250 0.532
```

space group	P2_1/m
raw total energy	-0.2327	hartree per atom

(10)
VASP calculation (PBE) on a relaxed structure of TmU6S8.

Cell and atoms, written as POSCAR:
```
TmU6S8
1.0
0.000 5.449 5.449
5.449 0.000 5.449
5.449 5.449 0.000
Tm U S
1 6 8
direct
0.000 0.000 0.000
0.000 0.000 0.500
0.000 0.500 0.000
0.000 0.500 0.500
0.500 0.000 0.000
0.500 0.000 0.500
0.500 0.500 0.000
0.250 0.250 0.250
0.251 0.251 0.749
0.251 0.749 0.251
0.251 0.749 0.749
0.749 0.251 0.251
0.749 0.251 0.749
0.749 0.749 0.251
0.750 0.750 0.750
```

space group	Fm-3m
energy above the most stable polymorph in this dataset	0.00	eV per formula unit

(11)
VASP calculation (PBE) on a relaxed structure of Tm2US6.

Cell and atoms, written as POSCAR:
```
Tm2US6
1.0
6.259 0.000 0.000
0.000 6.259 0.000
0.000 0.000 11.896
Tm U S
4 2 12
direct
0.000 0.000 0.164
0.000 0.000 0.836
0.500 0.500 0.336
0.500 0.500 0.664
0.000 0.000 0.500
0.500 0.500 0.000
0.192 0.192 0.340
0.192 0.192 0.660
0.207 0.207 0.000
0.293 0.707 0.500
0.308 0.692 0.160
0.308 0.692 0.840
0.692 0.308 0.160
0.692 0.308 0.840
0.707 0.293 0.500
0.793 0.793 0.000
0.808 0.808 0.340
0.808 0.808 0.660
```

space group	P4_2/mnm
raw total energy	-0.2408	hartree per atom

(12)
VASP calculation (PBE) on a relaxed structure of Tm2US4.

Cell and atoms, written as POSCAR:
```
Tm2US4
1.0
-3.908 4.022 5.739
3.908 -4.022 5.739
3.908 4.022 -5.739
Tm U S
4 2 8
direct
0.000 0.000 0.000
0.377 0.627 0.750
0.500 0.000 0.500
0.623 0.373 0.250
0.000 0.000 0.500
0.000 0.500 0.000
0.234 0.237 0.997
0.244 0.229 0.485
0.244 0.759 0.015
0.260 0.763 0.497
0.740 0.237 0.503
0.756 0.241 0.985
0.756 0.771 0.515
0.766 0.763 0.003
```

space group	Imma
raw total energy	-0.2530	hartree per atom

(13)
VASP calculation (PBE) on a relaxed structure of TmU4S5.

Cell and atoms, written as POSCAR:
```
TmU4S5
1.0
-1.906 2.725 9.774
1.906 -2.725 9.774
1.906 2.725 -9.774
Tm U S
1 4 5
direct
0.000 0.000 0.000
0.200 0.200 0.000
0.400 0.400 0.000
0.600 0.600 0.000
0.800 0.800 0.000
0.098 0.598 0.500
0.300 0.800 0.500
0.500 0.000 0.500
0.700 0.200 0.500
0.902 0.402 0.500
```

space group	Immm
raw total energy	-0.3126	hartree per atom

(14)
VASP calculation (PBE) on a relaxed structure of Tm3US4.

Cell and atoms, written as POSCAR:
```
Tm3US4
1.0
1.913 1.105 12.700
-1.913 1.105 12.700
0.000 -2.209 12.700
Tm U S
3 1 4
direct
0.000 0.000 0.000
0.249 0.249 0.249
0.751 0.751 0.751
0.500 0.500 0.500
0.124 0.124 0.124
0.375 0.375 0.375
0.625 0.625 0.625
0.876 0.876 0.876
```

space group	R-3m
raw total energy	-0.2554	hartree per atom

(15)
VASP calculation (PBE) on a relaxed structure of TmU3S6.

Cell and atoms, written as POSCAR:
```
TmU3S6
1.0
10.904 0.000 0.000
0.000 3.841 0.000
-3.466 0.000 10.776
Tm U S
2 6 12
direct
0.043 0.250 0.189
0.957 0.750 0.811
0.156 0.250 0.576
0.318 0.750 0.999
0.424 0.250 0.332
0.576 0.750 0.668
0.682 0.250 0.001
0.844 0.750 0.424
0.081 0.750 0.393
0.113 0.250 0.963
0.191 0.750 0.750
0.248 0.750 0.217
0.399 0.250 0.565
0.489 0.250 0.122
0.511 0.750 0.878
0.601 0.750 0.435
0.752 0.250 0.783
0.809 0.250 0.250
0.887 0.750 0.037
0.919 0.250 0.607
```

space group	P2_1/m
raw total energy	-0.2869	hartree per atom

(16)
VASP calculation (PBE) on a relaxed structure of Tm2U3S8.

Cell and atoms, written as POSCAR:
```
Tm2U3S8
1.0
6.961 -3.879 0.000
6.961 3.879 0.000
-2.150 0.000 6.182
Tm U S
2 3 8
direct
0.241 0.241 0.162
0.759 0.759 0.838
0.240 0.760 0.500
0.500 0.500 0.000
0.760 0.240 0.500
0.115 0.115 0.398
0.136 0.609 0.083
0.381 0.381 0.572
0.391 0.864 0.917
0.609 0.136 0.083
0.619 0.619 0.428
0.864 0.391 0.917
0.885 0.885 0.602
```

space group	C2/m
raw total energy	-0.2715	hartree per atom

(17)
VASP calculation (PBE) on a relaxed structure of TmU2S6.

Cell and atoms, written as POSCAR:
```
TmU2S6
1.0
6.722 -2.552 0.000
6.722 2.552 0.000
-5.236 0.000 6.954
Tm U S
1 2 6
direct
0.000 0.000 0.000
0.184 0.184 0.611
0.816 0.816 0.389
0.038 0.038 0.724
0.254 0.254 0.372
0.373 0.373 0.952
0.627 0.627 0.048
0.746 0.746 0.628
0.962 0.962 0.276
```

space group	C2/m
energy above the most stable polymorph in this dataset	1.18	eV per formula unit